Sr2SiIr, relaxed, DFT PBE; crystal system = tetragonal; size of the total moment = 0.000 μB per formula unit; uncorrected formation energy = -0.183 eV per atom; ρ = 6.2 Mg/m³; symmetry = P4mm (99)
1.0
-0.1340 -3.3028 0.8362
0.0070 -0.8372 -3.3053
9.0782 -0.3416 0.1057
Ir Si Sr
1 1 2
Direct
0.0000 0.0000 0.5773
0.5000 0.5000 0.6738
0.5000 0.5000 0.3291
0.0000 0.0000 0.9198